# 1
Compound: EuPu2Mn
Source: Alexandria
Functional: PBE
Structure: relaxed

The calculation puts the formation energy at 177.1 meV/atom. As for the total energy: -47.40 eV for the cell shown.

The space group is P4/mmm (No. 123) and the conventional cell measures 3.386, 3.386 and 8.931 Å, with angles of 90.00, 90.00 and 90.00 degrees. The inequivalent atoms are Eu at (0.000, 0.000, 0.000), Pu at (0.500, 0.500, 0.317) and Mn at (0.000, 0.000, 0.500).

=====

# 2
Compound: CsK2Sb
Source: Alexandria
Functional: PBE
Structure: relaxed

The calculation puts the formation energy from raw total energies at -0.144 eV/atom. As for the total energy: -30.98 eV for the cell shown.

The space group is I-42d (No. 122) and the conventional cell measures 5.982, 5.982 and 23.917 Å, with angles of 90.00, 90.00 and 90.00 degrees. The inequivalent atoms are Cs at (0.000, 0.000, 0.000), K at (0.180, 0.250, 0.625) and Sb at (0.000, 0.000, 0.500).

=====

# 3
Compound: Na2HoAgI6
Source: Alexandria
Functional: PBE
Structure: relaxed

The calculation puts the formation energy from raw total energies at -1.092 eV/atom. As for the total energy: -90.86 eV for the cell shown.

The space group is R3 (No. 146, hexagonal axes) and the conventional cell measures 7.9116, 7.9116 and 22.5350 Å, with angles of 90.00, 90.00 and 120.00 degrees. The inequivalent atoms are Na at (0.0000, 0.0000, 0.0000), Na at (0.0000, 0.0000, 0.4817), Ho at (0.0000, 0.0000, 0.8040), Ag at (0.0000, 0.0000, 0.2192), I at (0.0221, 0.3417, 0.4018) and I at (0.0324, 0.6690, 0.5612).